{"formula": "PmHoTmAg", "functional": "PBE", "state": "relaxed", "e_form_mev_per_atom": 101, "total_magnetization_mub_per_cell": 0.0, "polymorph_energy_mev_per_atom": 238, "sg": "F-43m", "lattice_angstrom": [[-0.057, -3.307, -4.239], [4.071, -3.421, -0.796], [-0.744, -5.277, 0.717]], "species": ["Ag", "Ho", "Tm", "Pm"], "fractional_positions": [[0.250, 0.250, 0.250], [0.500, 0.500, 0.500], [0.000, 0.000, 0.000], [0.750, 0.750, 0.750]]}

{"formula": "PmHoTmAg", "functional": "PBE", "state": "relaxed", "e_form_mev_per_atom": -137, "total_magnetization_mub_per_cell": 0.0, "polymorph_energy_mev_per_atom": 0, "sg": "P4mm", "lattice_angstrom": [[-2.851, 1.013, -1.906], [-2.133, -1.811, 2.227], [-0.823, 7.165, 5.039]], "species": ["Ag", "Tm", "Pm", "Ho"], "fractional_positions": [[0.000, 0.000, 0.567], [0.500, 0.500, 0.364], [0.000, 0.000, 0.073], [0.500, 0.500, 0.781]]}

{"formula": "PmHoZnAg", "functional": "PBE", "state": "relaxed", "e_form_mev_per_atom": -302, "total_magnetization_mub_per_cell": 0.0, "polymorph_energy_mev_per_atom": 16, "sg": "F-43m", "lattice_angstrom": [[5.156, 0.000, 0.000], [2.578, 4.465, 0.000], [2.578, 1.488, 4.210]], "species": ["Ho", "Pm", "Ag", "Zn"], "fractional_positions": [[0.000, 0.000, 0.000], [0.500, 0.500, 0.500], [0.250, 0.250, 0.250], [0.750, 0.750, 0.750]]}

{"formula": "PmHoZnAg", "functional": "PBE", "state": "relaxed", "e_form_mev_per_atom": -318, "total_magnetization_mub_per_cell": 0.0, "polymorph_energy_mev_per_atom": 0, "sg": "P4mm", "lattice_angstrom": [[-3.302, -1.507, -0.083], [0.476, -1.229, 3.383], [-2.883, 6.171, 2.648]], "species": ["Pm", "Zn", "Ho", "Ag"], "fractional_positions": [[0.000, 0.000, 0.847], [0.500, 0.500, 0.594], [0.000, 0.000, 0.363], [0.500, 0.500, 0.124]]}

{"formula": "Pr2HoAg6", "functional": "PBE", "state": "relaxed", "e_form_mev_per_atom": -247, "total_magnetization_mub_per_cell": 0.0, "sg": "P6/mmm", "lattice_angstrom": [[4.165, -7.214, 0.000], [4.165, 7.214, 0.000], [0.000, 0.000, 3.536]], "species": ["Ho", "Ag", "Ag", "Ag", "Ag", "Ag", "Ag", "Pr", "Pr"], "fractional_positions": [[0.000, 0.000, 0.000], [0.330, 0.330, 0.500], [0.670, 0.670, 0.500], [0.000, 0.670, 0.500], [0.670, 0.000, 0.500], [0.000, 0.330, 0.500], [0.330, 0.000, 0.500], [0.667, 0.333, 0.000], [0.333, 0.667, 0.000]]}

{"formula": "PrHo3Ag2", "functional": "PBE", "state": "relaxed", "e_form_mev_per_atom": -202, "total_magnetization_mub_per_cell": 0.0, "polymorph_energy_mev_per_atom": 0, "sg": "P4/mmm", "lattice_angstrom": [[-3.078, 0.092, -1.920], [0.236, -3.579, -0.549], [-6.494, -2.009, 10.313]], "species": ["Ag", "Ag", "Pr", "Ho", "Ho", "Ho"], "fractional_positions": [[0.500, 0.500, 0.148], [0.500, 0.500, 0.852], [0.500, 0.500, 0.500], [0.000, 0.000, 0.000], [0.000, 0.000, 0.709], [0.000, 0.000, 0.291]]}

{"formula": "PrHo2Ag", "functional": "PBE", "state": "relaxed", "e_form_mev_per_atom": 1, "total_magnetization_mub_per_cell": 0.0, "polymorph_energy_mev_per_atom": 136, "sg": "R3m", "lattice_angstrom": [[-2.512, 0.885, 2.470], [-3.504, -0.708, -0.642], [-0.929, -9.300, 5.056]], "species": ["Ho", "Ho", "Ag", "Pr"], "fractional_positions": [[0.262, 0.262, 0.215], [0.072, 0.072, 0.785], [0.666, 0.666, 0.001], [0.500, 0.500, 0.500]]}

{"formula": "PrHo3Ag", "functional": "PBE", "state": "relaxed", "e_form_mev_per_atom": 9, "total_magnetization_mub_per_cell": 0.0, "sg": "C2/m", "lattice_angstrom": [[-3.179, 5.932, 0.739], [-1.935, -4.683, 4.491], [8.061, -1.268, 2.921]], "species": ["Ho", "Ho", "Ho", "Ho", "Ho", "Ho", "Pr", "Pr", "Ag", "Ag"], "fractional_positions": [[0.255, 0.087, 0.850], [0.184, 0.562, 0.747], [0.745, 0.913, 0.150], [0.763, 0.594, 0.850], [0.237, 0.406, 0.150], [0.816, 0.438, 0.253], [0.339, 0.930, 0.269], [0.661, 0.070, 0.731], [0.232, 0.270, 0.502], [0.768, 0.730, 0.498]]}

{"formula": "Pr4HoAg5", "functional": "PBE", "state": "relaxed", "e_form_mev_per_atom": -261, "total_magnetization_mub_per_cell": 0.0, "sg": "P4/mmm", "lattice_angstrom": [[-2.624, -2.578, 0.475], [1.955, -1.476, 2.786], [-9.032, 11.483, 12.419]], "species": ["Ag", "Ag", "Ag", "Ag", "Ag", "Pr", "Pr", "Pr", "Pr", "Ho"], "fractional_positions": [[0.500, 0.500, 0.297], [0.500, 0.500, 0.911], [0.500, 0.500, 0.703], [0.500, 0.500, 0.089], [0.500, 0.500, 0.500], [0.000, 0.000, 0.194], [0.000, 0.000, 0.602], [0.000, 0.000, 0.398], [0.000, 0.000, 0.806], [0.000, 0.000, 0.000]]}

{"formula": "PrHo2Ag", "functional": "PBE", "state": "relaxed", "e_form_mev_per_atom": 168, "total_magnetization_mub_per_cell": 0.0, "polymorph_energy_mev_per_atom": 303, "sg": "R-3m", "lattice_angstrom": [[3.456, 0.000, 0.000], [1.728, 2.993, 0.000], [1.728, 0.998, 11.505]], "species": ["Ho", "Ho", "Pr", "Ag"], "fractional_positions": [[0.099, 0.099, 0.704], [0.901, 0.901, 0.296], [0.000, 0.000, 0.000], [0.500, 0.500, 0.500]]}

{"formula": "PrHoAg", "functional": "PBE", "state": "relaxed", "e_form_mev_per_atom": -148, "total_magnetization_mub_per_cell": 0.0, "polymorph_energy_mev_per_atom": 16, "sg": "Amm2", "lattice_angstrom": [[7.726, 0.000, 0.000], [0.000, 10.105, 0.000], [-3.863, -5.053, 6.684]], "species": ["Ho", "Ho", "Ho", "Ho", "Ho", "Ho", "Pr", "Pr", "Pr", "Pr", "Pr", "Pr", "Ag", "Ag", "Ag", "Ag", "Ag", "Ag"], "fractional_positions": [[0.754, 0.630, 0.259], [0.012, 0.500, 0.000], [0.012, 0.000, 0.000], [0.494, 0.870, 0.741], [0.754, 0.130, 0.259], [0.494, 0.370, 0.741], [0.347, 0.750, 0.000], [0.347, 0.250, 0.000], [0.754, 0.547, 0.595], [0.753, 0.047, 0.595], [0.159, 0.453, 0.405], [0.159, 0.953, 0.405], [0.753, 0.250, 0.000], [0.420, 0.167, 0.333], [0.087, 0.333, 0.667], [0.753, 0.750, 0.000], [0.420, 0.667, 0.333], [0.087, 0.833, 0.667]]}

{"formula": "PrHo6Ag", "functional": "PBE", "state": "relaxed", "e_form_mev_per_atom": 45, "total_magnetization_mub_per_cell": 0.0, "sg": "R-3", "lattice_angstrom": [[-1.889, 7.215, -5.629], [-6.135, -0.044, -5.751], [-4.767, 3.946, -1.097]], "species": ["Ho", "Ho", "Ho", "Ho", "Ho", "Ho", "Pr", "Ag"], "fractional_positions": [[0.236, 0.048, 0.290], [0.573, 0.235, 0.144], [0.427, 0.765, 0.856], [0.764, 0.952, 0.710], [0.048, 0.427, 0.761], [0.952, 0.573, 0.239], [0.500, 0.500, 0.500], [0.000, 0.000, 0.000]]}

{"formula": "Pr2Ho2Ag", "functional": "PBE", "state": "relaxed", "e_form_mev_per_atom": -103, "total_magnetization_mub_per_cell": 0.0, "sg": "I4/mmm", "lattice_angstrom": [[3.588, 0.000, -0.576], [-0.092, 3.587, -0.576], [0.044, 0.045, 11.743]], "species": ["Pr", "Pr", "Ho", "Ho", "Ag"], "fractional_positions": [[0.191, 0.191, 0.383], [0.809, 0.809, 0.617], [0.579, 0.579, 0.158], [0.421, 0.421, 0.842], [0.000, 0.000, 0.000]]}

{"formula": "PrHoAg2", "functional": "PBE", "state": "relaxed", "e_form_mev_per_atom": -293, "total_magnetization_mub_per_cell": 0.0, "polymorph_energy_mev_per_atom": 0, "sg": "P4/mmm", "lattice_angstrom": [[-0.272, -3.627, -0.373], [1.618, 0.215, -3.272], [6.765, -0.846, 3.290]], "species": ["Pr", "Ag", "Ag", "Ho"], "fractional_positions": [[0.500, 0.500, 0.500], [0.000, 0.000, 0.226], [0.000, 0.000, 0.774], [0.500, 0.500, 0.000]]}

{"formula": "PrHo5Ag6", "functional": "PBE", "state": "relaxed", "e_form_mev_per_atom": -311, "total_magnetization_mub_per_cell": 0.0, "sg": "Cmmm", "lattice_angstrom": [[-3.088, 3.978, -1.192], [-1.153, -2.859, -6.551], [-7.666, -1.928, 2.191]], "species": ["Ag", "Ag", "Ag", "Ag", "Ag", "Ag", "Ho", "Ho", "Ho", "Ho", "Ho", "Pr"], "fractional_positions": [[0.829, 0.745, 0.342], [0.500, 0.263, 0.000], [0.171, 0.745, 0.658], [0.500, 0.737, 0.000], [0.171, 0.255, 0.658], [0.829, 0.255, 0.342], [0.665, 0.500, 0.669], [0.332, 0.000, 0.336], [0.000, 0.500, 0.000], [0.668, 0.000, 0.664], [0.335, 0.500, 0.331], [0.000, 0.000, 0.000]]}

{"formula": "PrHo2Ag", "functional": "PBE", "state": "relaxed", "e_form_mev_per_atom": 23, "total_magnetization_mub_per_cell": 0.0, "polymorph_energy_mev_per_atom": 157, "sg": "P4/mmm", "lattice_angstrom": [[-3.829, 2.959, -0.663], [-2.900, -3.322, 1.923], [0.714, 1.901, 4.362]], "species": ["Pr", "Ho", "Ho", "Ag"], "fractional_positions": [[0.500, 0.500, 0.500], [0.000, 0.000, 0.500], [0.000, 0.500, 0.000], [0.500, 0.000, 0.000]]}

{"formula": "PrHoAg", "functional": "PBE", "state": "relaxed", "e_form_mev_per_atom": -24, "total_magnetization_mub_per_cell": 0.0, "polymorph_energy_mev_per_atom": 140, "sg": "P3m1", "lattice_angstrom": [[-2.670, 2.604, -0.820], [-1.147, -2.521, -4.270], [-2.417, -1.111, 4.339]], "species": ["Pr", "Ag", "Ho"], "fractional_positions": [[0.637, 0.667, 0.333], [0.264, 0.333, 0.667], [0.100, 0.000, 0.000]]}

{"formula": "Pr2HoAg4", "functional": "PBE", "state": "relaxed", "e_form_mev_per_atom": -99, "total_magnetization_mub_per_cell": 0.0, "sg": "I4/mmm", "lattice_angstrom": [[-4.322, 3.113, 0.898], [-2.887, -3.020, -3.424], [1.833, -3.924, 6.178]], "species": ["Ag", "Ag", "Ag", "Ag", "Ho", "Pr", "Pr"], "fractional_positions": [[0.612, 0.112, 0.225], [0.888, 0.388, 0.775], [0.112, 0.612, 0.225], [0.388, 0.888, 0.775], [0.000, 0.000, 0.000], [0.281, 0.281, 0.561], [0.719, 0.719, 0.439]]}

{"formula": "PrHoAg", "functional": "PBE", "state": "relaxed", "e_form_mev_per_atom": -131, "total_magnetization_mub_per_cell": 0.0, "polymorph_energy_mev_per_atom": 32, "sg": "P4/nmm", "lattice_angstrom": [[-1.128, 2.436, 4.046], [-2.863, -3.660, 1.406], [5.823, -3.193, 3.546]], "species": ["Ag", "Ag", "Ho", "Ho", "Pr", "Pr"], "fractional_positions": [[0.500, 0.000, 0.733], [0.000, 0.500, 0.267], [0.500, 0.500, 0.500], [0.000, 0.000, 0.500], [0.000, 0.500, 0.875], [0.500, 0.000, 0.125]]}

{"formula": "PrHo2Ag", "functional": "PBE", "state": "relaxed", "e_form_mev_per_atom": -135, "total_magnetization_mub_per_cell": 0.0, "polymorph_energy_mev_per_atom": 0, "sg": "P4/mmm", "lattice_angstrom": [[3.627, 0.000, 0.000], [0.000, 3.627, 0.000], [0.000, 0.000, 8.758]], "species": ["Ho", "Ho", "Pr", "Ag"], "fractional_positions": [[0.000, 0.000, 0.795], [0.000, 0.000, 0.205], [0.500, 0.500, 0.500], [0.500, 0.500, 0.000]]}